[1]
First-principles (PBE) data for an optimized crystal structure of HfZr2RuO, as listed in Alexandria.

Computed properties:
Crystal system: tetragonal
Formation energy (no corrections), eV/atom: 1.49
Calculated volume, Å³/cell: 126.7

The structure in CIF format:
```
data_HfZr2RuO
_chemical_formula_sum 'Hf1 Zr2 Ru1 O1'
_cell_length_a 5.2617
_cell_length_b 4.5766
_cell_length_c 5.2617
_cell_angle_alpha 90.00
_cell_angle_beta 90.00
_cell_angle_gamma 90.00
_symmetry_space_group_name_H-M 'P 1'
_symmetry_Int_Tables_number 1
loop_
_symmetry_equiv_pos_as_xyz
'x,y,z'
loop_
_atom_site_label
_atom_site_type_symbol
_atom_site_fract_x
_atom_site_fract_y
_atom_site_fract_z
Ru1 Ru 0.0000 0.5000 0.0000
Hf1 Hf 0.0000 0.0000 0.0000
O1 O 0.5000 0.5000 0.5000
Zr1 Zr 0.0000 0.0000 0.5000
Zr2 Zr 0.5000 0.0000 0.0000
```

[2]
First-principles (PBE) data for an optimized crystal structure of Hf4SO, as listed in Alexandria.

Computed properties:
Crystal system: tetragonal
Formation energy (no corrections), eV/atom: -1.16
Calculated volume, Å³/cell: 215.2

The structure in CIF format:
```
data_Hf4SO
_chemical_formula_sum 'Hf8 S2 O2'
_cell_length_a 6.5712
_cell_length_b 6.5712
_cell_length_c 6.5712
_cell_angle_alpha 105.61
_cell_angle_beta 105.61
_cell_angle_gamma 117.51
_symmetry_space_group_name_H-M 'P 1'
_symmetry_Int_Tables_number 1
loop_
_symmetry_equiv_pos_as_xyz
'x,y,z'
loop_
_atom_site_label
_atom_site_type_symbol
_atom_site_fract_x
_atom_site_fract_y
_atom_site_fract_z
Hf1 Hf 0.2364 0.9595 0.7231
Hf2 Hf 0.7666 0.4676 0.7011
Hf3 Hf 0.7095 0.4864 0.2231
Hf4 Hf 0.2176 0.0166 0.2011
Hf5 Hf 0.2633 0.4864 0.7769
Hf6 Hf 0.8155 0.0166 0.7989
Hf7 Hf 0.7666 0.0655 0.2989
Hf8 Hf 0.2364 0.5133 0.2769
S1 S 0.7348 0.7348 0.0000
S2 S 0.4848 0.9848 0.5000
O1 O 0.2592 0.2592 0.0000
O2 O 0.0092 0.5092 0.5000
```

[3]
First-principles (PBE) data for an optimized crystal structure of HfSO7, as listed in Alexandria.

Computed properties:
Crystal system: monoclinic
Formation energy (no corrections), eV/atom: -1.33
Calculated volume, Å³/cell: 280.2

The structure in CIF format:
```
data_HfSO7
_chemical_formula_sum 'Hf2 S2 O14'
_cell_length_a 6.0662
_cell_length_b 6.0662
_cell_length_c 8.4274
_cell_angle_alpha 89.28
_cell_angle_beta 89.28
_cell_angle_gamma 115.36
_symmetry_space_group_name_H-M 'P 1'
_symmetry_Int_Tables_number 1
loop_
_symmetry_equiv_pos_as_xyz
'x,y,z'
loop_
_atom_site_label
_atom_site_type_symbol
_atom_site_fract_x
_atom_site_fract_y
_atom_site_fract_z
Hf1 Hf 0.9743 0.0257 0.2500
Hf2 Hf 0.0257 0.9743 0.7500
S1 S 0.4095 0.5905 0.2500
S2 S 0.5905 0.4095 0.7500
O1 O 0.0679 0.9322 0.0135
O2 O 0.0678 0.9321 0.4865
O3 O 0.9321 0.0678 0.9865
O4 O 0.9322 0.0679 0.5135
O5 O 0.3411 0.6791 0.1058
O6 O 0.3209 0.6589 0.3942
O7 O 0.6589 0.3209 0.8942
O8 O 0.6791 0.3411 0.6058
O9 O 0.6864 0.6824 0.2542
O10 O 0.3176 0.3136 0.2458
O11 O 0.3136 0.3176 0.7458
O12 O 0.6824 0.6864 0.7542
O13 O 0.7887 0.2113 0.2500
O14 O 0.2113 0.7887 0.7500
```

[4]
First-principles (PBE) data for an optimized crystal structure of HfSO3, as listed in Alexandria.

Computed properties:
Crystal system: cubic
Formation energy (no corrections), eV/atom: -0.35
Calculated volume, Å³/cell: 57.6

The structure in CIF format:
```
data_HfSO3
_chemical_formula_sum 'Hf1 S1 O3'
_cell_length_a 3.8630
_cell_length_b 3.8630
_cell_length_c 3.8630
_cell_angle_alpha 90.00
_cell_angle_beta 90.00
_cell_angle_gamma 90.00
_symmetry_space_group_name_H-M 'P 1'
_symmetry_Int_Tables_number 1
loop_
_symmetry_equiv_pos_as_xyz
'x,y,z'
loop_
_atom_site_label
_atom_site_type_symbol
_atom_site_fract_x
_atom_site_fract_y
_atom_site_fract_z
Hf1 Hf 0.5000 0.5000 0.5000
S1 S 0.0000 0.0000 0.0000
O1 O 0.0000 0.5000 0.0000
O2 O 0.0000 0.0000 0.5000
O3 O 0.5000 0.0000 0.0000
```

[5]
First-principles (PBE) data for an optimized crystal structure of Hf2S2O, as listed in Alexandria.

Computed properties:
Crystal system: tetragonal
Formation energy (no corrections), eV/atom: -0.85
Energy relative to the lowest polymorph listed for this composition, meV per atom: 109
Calculated volume, Å³/cell: 93.8

The structure in CIF format:
```
data_Hf2S2O
_chemical_formula_sum 'Hf2 S2 O1'
_cell_length_a 4.5618
_cell_length_b 4.5618
_cell_length_c 5.5434
_cell_angle_alpha 65.70
_cell_angle_beta 65.70
_cell_angle_gamma 90.00
_symmetry_space_group_name_H-M 'P 1'
_symmetry_Int_Tables_number 1
loop_
_symmetry_equiv_pos_as_xyz
'x,y,z'
loop_
_atom_site_label
_atom_site_type_symbol
_atom_site_fract_x
_atom_site_fract_y
_atom_site_fract_z
S1 S 0.3502 0.3502 0.2995
S2 S 0.6498 0.6498 0.7005
Hf1 Hf 0.7500 0.2500 0.5000
Hf2 Hf 0.2500 0.7500 0.5000
O1 O 0.0000 0.0000 0.0000
```

[6]
First-principles (PBE) data for an optimized crystal structure of HfSO2, as listed in Alexandria.

Computed properties:
Crystal system: trigonal
Formation energy (no corrections), eV/atom: -0.22
Calculated volume, Å³/cell: 58.3

The structure in CIF format:
```
data_HfSO2
_chemical_formula_sum 'Hf1 S1 O2'
_cell_length_a 6.0807
_cell_length_b 6.0807
_cell_length_c 6.0807
_cell_angle_alpha 32.68
_cell_angle_beta 32.68
_cell_angle_gamma 32.68
_symmetry_space_group_name_H-M 'P 1'
_symmetry_Int_Tables_number 1
loop_
_symmetry_equiv_pos_as_xyz
'x,y,z'
loop_
_atom_site_label
_atom_site_type_symbol
_atom_site_fract_x
_atom_site_fract_y
_atom_site_fract_z
S1 S 0.5000 0.5000 0.5000
Hf1 Hf 0.0000 0.0000 0.0000
O1 O 0.8820 0.8820 0.8820
O2 O 0.1180 0.1180 0.1180
```

[7]
First-principles (PBE) data for an optimized crystal structure of HfS2O8, as listed in Alexandria.

Computed properties:
Crystal system: monoclinic
Formation energy (no corrections), eV/atom: -1.79
Calculated volume, Å³/cell: 173.9

The structure in CIF format:
```
data_HfS2O8
_chemical_formula_sum 'Hf1 S2 O8'
_cell_length_a 4.8645
_cell_length_b 6.1875
_cell_length_c 6.1875
_cell_angle_alpha 71.34
_cell_angle_beta 82.17
_cell_angle_gamma 82.17
_symmetry_space_group_name_H-M 'P 1'
_symmetry_Int_Tables_number 1
loop_
_symmetry_equiv_pos_as_xyz
'x,y,z'
loop_
_atom_site_label
_atom_site_type_symbol
_atom_site_fract_x
_atom_site_fract_y
_atom_site_fract_z
Hf1 Hf 0.0000 0.0000 0.0000
S1 S 0.3358 0.1945 0.1945
S2 S 0.6642 0.8055 0.8055
O1 O 0.7860 0.7106 0.0370
O2 O 0.7860 0.0370 0.7106
O3 O 0.2140 0.2894 0.9630
O4 O 0.7257 0.6620 0.6620
O5 O 0.2140 0.9630 0.2894
O6 O 0.6470 0.1446 0.1446
O7 O 0.3530 0.8554 0.8554
O8 O 0.2743 0.3380 0.3380
```

[8]
First-principles (PBE) data for an optimized crystal structure of HfSO, as listed in Alexandria.

Computed properties:
Crystal system: orthorhombic
Formation energy (no corrections), eV/atom: -2.43
Calculated volume, Å³/cell: 122.3

The structure in CIF format:
```
data_HfSO
_chemical_formula_sum 'Hf2 S2 O2'
_cell_length_a 3.5089
_cell_length_b 3.9075
_cell_length_c 8.9168
_cell_angle_alpha 90.00
_cell_angle_beta 90.00
_cell_angle_gamma 90.00
_symmetry_space_group_name_H-M 'P 1'
_symmetry_Int_Tables_number 1
loop_
_symmetry_equiv_pos_as_xyz
'x,y,z'
loop_
_atom_site_label
_atom_site_type_symbol
_atom_site_fract_x
_atom_site_fract_y
_atom_site_fract_z
Hf1 Hf 0.5000 0.0000 0.6301
Hf2 Hf 0.0000 0.5000 0.3699
S1 S 0.5000 0.5000 0.1852
S2 S 0.0000 0.0000 0.8148
O1 O 0.0000 0.0000 0.4556
O2 O 0.5000 0.5000 0.5444
```

[9]
First-principles (PBE) data for an optimized crystal structure of HfS3O12, as listed in Alexandria.

Computed properties:
Crystal system: hexagonal
Formation energy (no corrections), eV/atom: -1.45
Calculated volume, Å³/cell: 462.3

The structure in CIF format:
```
data_HfS3O12
_chemical_formula_sum 'Hf2 S6 O24'
_cell_length_a 5.1052
_cell_length_b 10.2260
_cell_length_c 10.2260
_cell_angle_alpha 120.00
_cell_angle_beta 90.00
_cell_angle_gamma 90.00
_symmetry_space_group_name_H-M 'P 1'
_symmetry_Int_Tables_number 1
loop_
_symmetry_equiv_pos_as_xyz
'x,y,z'
loop_
_atom_site_label
_atom_site_type_symbol
_atom_site_fract_x
_atom_site_fract_y
_atom_site_fract_z
Hf1 Hf 0.7500 0.6667 0.3333
Hf2 Hf 0.2500 0.3333 0.6667
S1 S 0.2500 0.8870 0.5892
S2 S 0.2500 0.7021 0.1130
S3 S 0.2500 0.4108 0.2979
S4 S 0.7500 0.5892 0.7021
S5 S 0.7500 0.2979 0.8870
S6 S 0.7500 0.1130 0.4108
O1 O 0.2500 0.8455 0.7058
O2 O 0.7500 0.9486 0.3438
O3 O 0.4859 0.8236 0.4885
O4 O 0.0141 0.8236 0.4885
O5 O 0.7500 0.6562 0.6048
O6 O 0.0141 0.6648 0.1764
O7 O 0.4859 0.6648 0.1764
O8 O 0.2500 0.8602 0.1545
O9 O 0.4859 0.5115 0.3352
O10 O 0.0141 0.5115 0.3352
O11 O 0.7500 0.7058 0.8602
O12 O 0.2500 0.6048 0.9486
O13 O 0.7500 0.3952 0.0514
O14 O 0.2500 0.2942 0.1398
O15 O 0.9859 0.4885 0.6648
O16 O 0.5141 0.4885 0.6648
O17 O 0.7500 0.1398 0.8455
O18 O 0.5141 0.3352 0.8236
O19 O 0.9859 0.3352 0.8236
O20 O 0.2500 0.3438 0.3952
O21 O 0.5141 0.1764 0.5115
O22 O 0.9859 0.1764 0.5115
O23 O 0.2500 0.0514 0.6562
O24 O 0.7500 0.1545 0.2942
```

[10]
First-principles (PBE) data for an optimized crystal structure of Hf2S2O, as listed in Alexandria.

Computed properties:
Crystal system: tetragonal
Formation energy (no corrections), eV/atom: -0.96
Energy relative to the lowest polymorph listed for this composition, meV per atom: 0
Calculated volume, Å³/cell: 156.9

The structure in CIF format:
```
data_Hf2S2O
_chemical_formula_sum 'Hf4 S4 O2'
_cell_length_a 7.0500
_cell_length_b 7.0500
_cell_length_c 3.1568
_cell_angle_alpha 90.00
_cell_angle_beta 90.00
_cell_angle_gamma 90.00
_symmetry_space_group_name_H-M 'P 1'
_symmetry_Int_Tables_number 1
loop_
_symmetry_equiv_pos_as_xyz
'x,y,z'
loop_
_atom_site_label
_atom_site_type_symbol
_atom_site_fract_x
_atom_site_fract_y
_atom_site_fract_z
S1 S 0.3632 0.8632 0.0000
S2 S 0.8632 0.6368 0.0000
S3 S 0.6368 0.1368 0.0000
S4 S 0.1368 0.3632 0.0000
Hf1 Hf 0.1587 0.6587 0.5000
Hf2 Hf 0.6587 0.8413 0.5000
Hf3 Hf 0.8413 0.3413 0.5000
Hf4 Hf 0.3413 0.1587 0.5000
O1 O 0.0000 0.0000 0.0000
O2 O 0.5000 0.5000 0.0000
```

[11]
First-principles (PBE) data for an optimized crystal structure of HfSO, as listed in Alexandria.

Computed properties:
Crystal system: tetragonal
Formation energy (no corrections), eV/atom: -2.51
Calculated volume, Å³/cell: 81.4

The structure in CIF format:
```
data_HfSO
_chemical_formula_sum 'Hf2 S2 O2'
_cell_length_a 3.5758
_cell_length_b 3.5758
_cell_length_c 6.3622
_cell_angle_alpha 90.00
_cell_angle_beta 90.00
_cell_angle_gamma 90.00
_symmetry_space_group_name_H-M 'P 1'
_symmetry_Int_Tables_number 1
loop_
_symmetry_equiv_pos_as_xyz
'x,y,z'
loop_
_atom_site_label
_atom_site_type_symbol
_atom_site_fract_x
_atom_site_fract_y
_atom_site_fract_z
S1 S 0.2500 0.2500 0.6275
S2 S 0.7500 0.7500 0.3725
Hf1 Hf 0.7500 0.7500 0.8037
Hf2 Hf 0.2500 0.2500 0.1963
O1 O 0.7500 0.2500 0.0000
O2 O 0.2500 0.7500 0.0000
```

[12]
First-principles (PBE) data for an optimized crystal structure of HfSO2, as listed in Alexandria.

Computed properties:
Crystal system: tetragonal
Formation energy (no corrections), eV/atom: -1.80
Calculated volume, Å³/cell: 180.9

The structure in CIF format:
```
data_HfSO2
_chemical_formula_sum 'Hf2 S2 O4'
_cell_length_a 6.3372
_cell_length_b 6.3372
_cell_length_c 6.3530
_cell_angle_alpha 60.08
_cell_angle_beta 60.08
_cell_angle_gamma 90.00
_symmetry_space_group_name_H-M 'P 1'
_symmetry_Int_Tables_number 1
loop_
_symmetry_equiv_pos_as_xyz
'x,y,z'
loop_
_atom_site_label
_atom_site_type_symbol
_atom_site_fract_x
_atom_site_fract_y
_atom_site_fract_z
S1 S 0.5000 0.5000 0.0000
S2 S 0.2500 0.7500 0.5000
Hf1 Hf 0.0000 0.0000 0.0000
Hf2 Hf 0.7500 0.2500 0.5000
O1 O 0.8811 0.1250 0.2500
O2 O 0.8689 0.6250 0.2500
O3 O 0.3750 0.1189 0.7500
O4 O 0.8750 0.1311 0.7500
```

Sequential raw total energy output: -33.817, -111.676, -121.520, -30.728, -37.378, -24.867, -77.586, -52.635, -210.115, -75.850, -53.132, -62.364 eV/cell